--- one ---
# GGA-PBE YReAsO, relaxed
data_YReAsO
_chemical_formula_sum 'Y2 Re2 As2 O2'
_space_group_name_H-M_alt 'P 1'
_space_group_IT_number 1
_cell_length_a 3.958
_cell_length_b 3.958
_cell_length_c 8.531
_cell_angle_alpha 90.00
_cell_angle_beta 90.00
_cell_angle_gamma 90.00
loop_
_space_group_symop_operation_xyz
'x,y,z'
loop_
_atom_site_label
_atom_site_type_symbol
_atom_site_fract_x
_atom_site_fract_y
_atom_site_fract_z
As1 As 0.750 0.750 0.317
As2 As 0.250 0.250 0.683
O1 O 0.750 0.250 0.000
O2 O 0.250 0.750 0.000
Re1 Re 0.750 0.250 0.500
Re2 Re 0.250 0.750 0.500
Y1 Y 0.250 0.250 0.129
Y2 Y 0.750 0.750 0.871
# - SG = P4/nmm, No. 129

---

--- two ---
# GGA-PBE YReAsO, relaxed
data_YReAsO
_chemical_formula_sum 'Y2 Re2 As2 O2'
_space_group_name_H-M_alt 'P 1'
_space_group_IT_number 1
_cell_length_a 4.053
_cell_length_b 4.531
_cell_length_c 7.112
_cell_angle_alpha 90.00
_cell_angle_beta 90.00
_cell_angle_gamma 90.00
loop_
_space_group_symop_operation_xyz
'x,y,z'
loop_
_atom_site_label
_atom_site_type_symbol
_atom_site_fract_x
_atom_site_fract_y
_atom_site_fract_z
As1 As 0.000 0.803 0.282
As2 As 0.000 0.197 0.782
O1 O 0.500 0.308 0.436
O2 O 0.500 0.692 0.936
Re1 Re 0.000 0.305 0.438
Re2 Re 0.000 0.695 0.938
Y1 Y 0.500 0.217 0.098
Y2 Y 0.500 0.783 0.598
# - SG = Pmc2_1, No. 26

---

Most stable = one

---

--- one ---
# GGA-PBE TaSbAsO, relaxed
data_TaSbAsO
_chemical_formula_sum 'Ta2 Sb2 As2 O2'
_space_group_name_H-M_alt 'P 1'
_space_group_IT_number 1
_cell_length_a 3.857
_cell_length_b 3.857
_cell_length_c 10.041
_cell_angle_alpha 90.00
_cell_angle_beta 90.00
_cell_angle_gamma 90.00
loop_
_space_group_symop_operation_xyz
'x,y,z'
loop_
_atom_site_label
_atom_site_type_symbol
_atom_site_fract_x
_atom_site_fract_y
_atom_site_fract_z
As1 As 0.500 0.000 0.228
As2 As 0.000 0.500 0.772
O1 O 0.000 0.000 0.000
O2 O 0.500 0.500 0.000
Sb1 Sb 0.000 0.000 0.500
Sb2 Sb 0.500 0.500 0.500
Ta1 Ta 0.000 0.500 0.095
Ta2 Ta 0.500 0.000 0.905
# - SG = P4/nmm, No. 129

---

--- two ---
# GGA-PBE TaSbAsO, relaxed
data_TaSbAsO
_chemical_formula_sum 'Ta2 Sb2 As2 O2'
_space_group_name_H-M_alt 'P 1'
_space_group_IT_number 1
_cell_length_a 3.453
_cell_length_b 7.157
_cell_length_c 7.247
_cell_angle_alpha 90.00
_cell_angle_beta 90.00
_cell_angle_gamma 90.00
loop_
_space_group_symop_operation_xyz
'x,y,z'
loop_
_atom_site_label
_atom_site_type_symbol
_atom_site_fract_x
_atom_site_fract_y
_atom_site_fract_z
As1 As 0.000 0.312 0.431
As2 As 0.000 0.688 0.931
O1 O 0.500 0.916 0.256
O2 O 0.500 0.084 0.756
Sb1 Sb 0.000 0.285 0.069
Sb2 Sb 0.000 0.715 0.569
Ta1 Ta 0.500 0.049 0.497
Ta2 Ta 0.500 0.951 0.997
# - SG = Pmc2_1, No. 26

---

--- three ---
# GGA-PBE TaSbAsO, relaxed
data_TaSbAsO
_chemical_formula_sum 'Ta2 Sb2 As2 O2'
_space_group_name_H-M_alt 'P 1'
_space_group_IT_number 1
_cell_length_a 3.880
_cell_length_b 3.880
_cell_length_c 9.535
_cell_angle_alpha 90.00
_cell_angle_beta 90.00
_cell_angle_gamma 90.00
loop_
_space_group_symop_operation_xyz
'x,y,z'
loop_
_atom_site_label
_atom_site_type_symbol
_atom_site_fract_x
_atom_site_fract_y
_atom_site_fract_z
As1 As 0.000 0.500 0.302
As2 As 0.500 0.000 0.698
O1 O 0.000 0.000 0.000
O2 O 0.500 0.500 0.000
Sb1 Sb 0.500 0.000 0.127
Sb2 Sb 0.000 0.500 0.873
Ta1 Ta 0.000 0.000 0.500
Ta2 Ta 0.500 0.500 0.500
# - SG = P4/nmm, No. 129

---

--- four ---
# GGA-PBE TaSbAsO, relaxed
data_TaSbAsO
_chemical_formula_sum 'Ta2 Sb2 As2 O2'
_space_group_name_H-M_alt 'P 1'
_space_group_IT_number 1
_cell_length_a 3.490
_cell_length_b 7.617
_cell_length_c 6.342
_cell_angle_alpha 90.00
_cell_angle_beta 90.00
_cell_angle_gamma 90.00
loop_
_space_group_symop_operation_xyz
'x,y,z'
loop_
_atom_site_label
_atom_site_type_symbol
_atom_site_fract_x
_atom_site_fract_y
_atom_site_fract_z
As1 As 0.000 0.877 0.429
As2 As 0.000 0.123 0.929
O1 O 0.500 0.214 0.403
O2 O 0.500 0.786 0.903
Sb1 Sb 0.500 0.608 0.386
Sb2 Sb 0.500 0.392 0.886
Ta1 Ta 0.000 0.784 0.035
Ta2 Ta 0.000 0.216 0.535
# - SG = Pmc2_1, No. 26

---

Most stable = two

---

--- one ---
# GGA-PBE TbSbAsO, relaxed
data_TbSbAsO
_chemical_formula_sum 'Tb2 Sb2 As2 O2'
_space_group_name_H-M_alt 'P 1'
_space_group_IT_number 1
_cell_length_a 4.061
_cell_length_b 4.061
_cell_length_c 10.408
_cell_angle_alpha 90.00
_cell_angle_beta 90.00
_cell_angle_gamma 90.00
loop_
_space_group_symop_operation_xyz
'x,y,z'
loop_
_atom_site_label
_atom_site_type_symbol
_atom_site_fract_x
_atom_site_fract_y
_atom_site_fract_z
As1 As 0.000 0.500 0.269
As2 As 0.500 0.000 0.731
O1 O 0.000 0.000 0.000
O2 O 0.500 0.500 0.000
Sb1 Sb 0.000 0.000 0.500
Sb2 Sb 0.500 0.500 0.500
Tb1 Tb 0.500 0.000 0.100
Tb2 Tb 0.000 0.500 0.900
# - SG = P4/nmm, No. 129

---

--- two ---
# GGA-PBE TbSbAsO, relaxed
data_TbSbAsO
_chemical_formula_sum 'Tb2 Sb2 As2 O2'
_space_group_name_H-M_alt 'P 1'
_space_group_IT_number 1
_cell_length_a 4.685
_cell_length_b 4.685
_cell_length_c 7.638
_cell_angle_alpha 90.00
_cell_angle_beta 90.00
_cell_angle_gamma 90.00
loop_
_space_group_symop_operation_xyz
'x,y,z'
loop_
_atom_site_label
_atom_site_type_symbol
_atom_site_fract_x
_atom_site_fract_y
_atom_site_fract_z
As1 As 0.750 0.750 0.295
As2 As 0.250 0.250 0.705
O1 O 0.750 0.250 0.000
O2 O 0.250 0.750 0.000
Sb1 Sb 0.250 0.250 0.070
Sb2 Sb 0.750 0.750 0.930
Tb1 Tb 0.750 0.250 0.500
Tb2 Tb 0.250 0.750 0.500
# - SG = P4/nmm, No. 129

---

Most stable = one

---

--- one ---
# GGA-PBE TbSbAsO, relaxed
data_TbSbAsO
_chemical_formula_sum 'Tb2 Sb2 As2 O2'
_space_group_name_H-M_alt 'P 1'
_space_group_IT_number 1
_cell_length_a 3.992
_cell_length_b 8.270
_cell_length_c 5.947
_cell_angle_alpha 90.00
_cell_angle_beta 90.00
_cell_angle_gamma 90.00
loop_
_space_group_symop_operation_xyz
'x,y,z'
loop_
_atom_site_label
_atom_site_type_symbol
_atom_site_fract_x
_atom_site_fract_y
_atom_site_fract_z
As1 As 0.000 0.323 0.428
As2 As 0.000 0.677 0.928
O1 O 0.500 0.754 0.355
O2 O 0.500 0.246 0.855
Sb1 Sb 0.500 0.893 0.035
Sb2 Sb 0.500 0.107 0.535
Tb1 Tb 0.000 0.676 0.437
Tb2 Tb 0.000 0.324 0.937
# - SG = Pmc2_1, No. 26

---

--- two ---
# GGA-PBE TbSbAsO, relaxed
data_TbSbAsO
_chemical_formula_sum 'Tb2 Sb2 As2 O2'
_space_group_name_H-M_alt 'P 1'
_space_group_IT_number 1
_cell_length_a 4.790
_cell_length_b 4.790
_cell_length_c 7.361
_cell_angle_alpha 90.00
_cell_angle_beta 90.00
_cell_angle_gamma 90.00
loop_
_space_group_symop_operation_xyz
'x,y,z'
loop_
_atom_site_label
_atom_site_type_symbol
_atom_site_fract_x
_atom_site_fract_y
_atom_site_fract_z
As1 As 0.000 0.500 0.302
As2 As 0.500 0.000 0.698
O1 O 0.000 0.000 0.000
O2 O 0.500 0.500 0.000
Sb1 Sb 0.500 0.000 0.069
Sb2 Sb 0.000 0.500 0.931
Tb1 Tb 0.000 0.000 0.500
Tb2 Tb 0.500 0.500 0.500
# - SG = P4/nmm, No. 129

---

Most stable = one

---

--- one ---
# GGA-PBE ZrSbAsO, relaxed
data_ZrSbAsO
_chemical_formula_sum 'Zr2 Sb2 As2 O2'
_space_group_name_H-M_alt 'P 1'
_space_group_IT_number 1
_cell_length_a 3.511
_cell_length_b 8.611
_cell_length_c 6.474
_cell_angle_alpha 90.00
_cell_angle_beta 90.00
_cell_angle_gamma 90.00
loop_
_space_group_symop_operation_xyz
'x,y,z'
loop_
_atom_site_label
_atom_site_type_symbol
_atom_site_fract_x
_atom_site_fract_y
_atom_site_fract_z
As1 As 0.000 0.932 0.304
As2 As 0.000 0.068 0.804
O1 O 0.500 0.667 0.002
O2 O 0.500 0.333 0.502
Sb1 Sb 0.500 0.247 0.011
Sb2 Sb 0.500 0.753 0.511
Zr1 Zr 0.000 0.234 0.437
Zr2 Zr 0.000 0.766 0.937
# - SG = Pmc2_1, No. 26

---

--- two ---
# GGA-PBE ZrSbAsO, relaxed
data_ZrSbAsO
_chemical_formula_sum 'Zr2 Sb2 As2 O2'
_space_group_name_H-M_alt 'P 1'
_space_group_IT_number 1
_cell_length_a 3.792
_cell_length_b 6.561
_cell_length_c 7.595
_cell_angle_alpha 90.00
_cell_angle_beta 90.00
_cell_angle_gamma 90.00
loop_
_space_group_symop_operation_xyz
'x,y,z'
loop_
_atom_site_label
_atom_site_type_symbol
_atom_site_fract_x
_atom_site_fract_y
_atom_site_fract_z
As1 As 0.000 0.343 0.421
As2 As 0.000 0.657 0.921
O1 O 0.500 0.915 0.260
O2 O 0.500 0.085 0.760
Sb1 Sb 0.000 0.296 0.074
Sb2 Sb 0.000 0.704 0.574
Zr1 Zr 0.500 0.054 0.499
Zr2 Zr 0.500 0.946 0.999
# - SG = Pmc2_1, No. 26

---

--- three ---
# GGA-PBE ZrSbAsO, relaxed
data_ZrSbAsO
_chemical_formula_sum 'Zr2 Sb2 As2 O2'
_space_group_name_H-M_alt 'P 1'
_space_group_IT_number 1
_cell_length_a 3.887
_cell_length_b 3.887
_cell_length_c 10.204
_cell_angle_alpha 90.00
_cell_angle_beta 90.00
_cell_angle_gamma 90.00
loop_
_space_group_symop_operation_xyz
'x,y,z'
loop_
_atom_site_label
_atom_site_type_symbol
_atom_site_fract_x
_atom_site_fract_y
_atom_site_fract_z
As1 As 0.000 0.500 0.245
As2 As 0.500 0.000 0.755
O1 O 0.000 0.000 0.000
O2 O 0.500 0.500 0.000
Sb1 Sb 0.000 0.000 0.500
Sb2 Sb 0.500 0.500 0.500
Zr1 Zr 0.500 0.000 0.109
Zr2 Zr 0.000 0.500 0.891
# - SG = P4/nmm, No. 129

---

Most stable = two